1.
MgAuBr4, relaxed, DFT PBE; uncorrected formation energy = -0.73 eV per atom; excess energy over the best structure of this formula in the dataset = 0 meV per atom; magnetization = 0.140 μB per atom; symmetry = P2_1/c, No. 14
1.0
6.725 0.000 0.000
0.000 4.038 0.000
-6.254 0.000 13.751
Mg Au Br
2 2 8
Cartesian
0.000 0.000 0.000 Mg
-3.127 2.019 6.876 Mg
0.236 0.000 6.876 Au
3.363 2.019 0.000 Au
-4.187 0.415 12.132 Br
-1.060 1.604 5.257 Br
1.171 2.024 1.483 Br
-1.956 4.033 8.359 Br
2.427 0.005 5.393 Br
-0.700 2.014 12.268 Br
1.531 2.434 8.494 Br
4.658 3.623 1.619 Br

***

2.
DyCdBr, relaxed, DFT PBE; uncorrected formation energy = -0.52 eV per atom; magnetization = 0.000 μB per atom; symmetry = Cmcm, No. 63
1.0
1.754 -15.372 0.000
1.754 15.372 0.000
0.000 0.000 3.764
Dy Cd Br
2 2 2
Cartesian
1.754 11.542 2.823 Dy
1.754 -11.542 0.941 Dy
1.754 1.172 0.941 Cd
1.754 -1.172 2.823 Cd
1.754 9.515 0.941 Br
1.754 -9.515 2.823 Br